Entry from Alexandria: a relaxed structure of KBi2Pt (PBE).

Unit cell a=4.392 b=4.392 c=8.182 alpha=74.43 beta=74.43 gamma=60.00
Element x y z (fractional)
Bi  0.281  0.281  0.158
Bi  0.719  0.719  0.842
Pt  0.000  0.000  0.000
K  0.500  0.500  0.500

Results
The total energy is -16.23 eV per formula unit. The space group is No. 166. The calculation puts the energy above the most stable polymorph in this dataset at 10 meV per atom. The value obtained for the formation energy is -0.33 eV/atom.